(1)
Density functional theory data (PBE) for a relaxed structure of Rb2SmUSe4.

Computed properties:
For the formation energy (no corrections), the calculation gives -1459.9 meV per atom.

a = 4.301 Å, b = 7.441 Å, c = 8.406 Å
α = 107.19°, β = 90.00°, γ = 90.00°
Sites, in units of the cell vectors:
1 Rb 0.500 0.000 0.500
2 Rb 0.000 0.500 0.500
3 Sm 0.500 0.500 0.000
4 U 0.000 0.000 0.000
5 Se 0.500 0.229 0.198
6 Se 0.500 0.771 0.802
7 Se 0.000 0.264 0.800
8 Se 0.000 0.736 0.200

(2)
Density functional theory data (PBE) for a relaxed structure of Rb3SmU2Se6.

Computed properties:
For the formation energy (no corrections), the calculation gives -1376.2 meV per atom.

a = 7.409 Å, b = 7.409 Å, c = 8.417 Å
α = 98.43°, β = 98.43°, γ = 120.00°
Sites, in units of the cell vectors:
1 Rb 0.165 0.835 0.500
2 Rb 0.835 0.165 0.500
3 Rb 0.500 0.500 0.500
4 Sm 0.000 0.000 0.000
5 U 0.333 0.667 0.000
6 U 0.667 0.333 0.000
7 Se 0.934 0.596 0.801
8 Se 0.729 0.729 0.198
9 Se 0.066 0.404 0.199
10 Se 0.596 0.934 0.801
11 Se 0.271 0.271 0.802
12 Se 0.404 0.066 0.199

(3)
Density functional theory data (PBE) for a relaxed structure of Rb3Sm3VSe8.

Computed properties:
For the formation energy (no corrections), the calculation gives -1441.7 meV per atom.

a = 8.320 Å, b = 8.320 Å, c = 9.506 Å
α = 115.96°, β = 90.00°, γ = 120.00°
Sites, in units of the cell vectors:
1 Rb 0.000 0.000 0.000
2 Rb 0.000 0.500 0.000
3 Rb 0.500 0.500 0.000
4 Sm 0.500 0.000 0.500
5 Sm 0.500 0.500 0.500
6 Sm 0.000 0.500 0.500
7 V 0.000 0.000 0.500
8 Se 0.266 0.532 0.299
9 Se 0.734 0.468 0.701
10 Se 0.790 0.579 0.318
11 Se 0.210 0.421 0.682
12 Se 0.790 0.028 0.318
13 Se 0.210 0.972 0.682
14 Se 0.238 0.028 0.318
15 Se 0.762 0.972 0.682